Record 1
A plane-wave DFT calculation with PBE-GGA was carried out for a relaxed structure of FeNiRu.

## Properties
Space group: F-43m (216)
Formation enthalpy at 0 K in meV per atom: 488

a = 3.873 Å, b = 3.873 Å, c = 3.873 Å
α = 60.00°, β = 60.00°, γ = 60.00°
Last column: magnetic moment on the atom in μB.
Positions (direct):
Fe  0.750  0.750  0.750  1.50
Ni  0.000  0.000  0.000  0.41
Ru  0.500  0.500  0.500  -0.25

Record 2
A plane-wave DFT calculation with PBE-GGA was carried out for a relaxed structure of Al2TlCl.

## Properties
E_form (uncorrected) in eV/atom: 0.17
Space group: I-42d (122)

a = 6.038 Å, b = 6.038 Å, c = 7.904 Å
α = 67.55°, β = 67.55°, γ = 90.00°
Positions (direct):
Tl  0.000  0.000  0.000
Tl  0.750  0.250  0.500
Al  0.635  0.125  0.250
Al  0.115  0.625  0.250
Al  0.375  0.365  0.750
Al  0.875  0.885  0.750
Cl  0.500  0.500  0.000
Cl  0.250  0.750  0.500

Number 1: energy above the lowest structure with this stoichiometry 110 kJ/mol of formula units. Number 2: energy above the lowest structure with this stoichiometry 118 kJ/mol of formula units.